First-principles (PBE-GGA) data for a geometry-optimized GdDyB4 structure, as listed in OQMD via LeMat-Bulk.

Calculated values
Density = 8.2 g/cm3
Symmetry = Immm
Final energy = -6.519 eV/atom

Lattice parameters (Å, degrees): 3.303 5.720 7.797 90.00 90.00 90.00
Sites, in units of the cell vectors:
Gd: 0.000 0.000 0.000
Gd: 0.500 0.500 0.500
Dy: 0.000 0.000 0.500
Dy: 0.500 0.500 0.000
B: 0.000 0.333 0.250
B: 0.000 0.333 0.750
B: 0.000 0.667 0.250
B: 0.000 0.667 0.750
B: 0.500 0.167 0.250
B: 0.500 0.167 0.750
B: 0.500 0.833 0.250
B: 0.500 0.833 0.750

=====

First-principles (PBE-GGA) data for a geometry-optimized GdDyB4 structure, as listed in OQMD via LeMat-Bulk.

Calculated values
Density = 8.2 g/cm3
Symmetry = P6/mmm
Final energy = -6.520 eV/atom

Lattice parameters (Å, degrees): 3.303 3.303 7.795 90.00 90.00 120.00
Sites, in units of the cell vectors:
Gd: 0.000 0.000 0.000
Dy: 0.000 0.000 0.500
B: 0.333 0.667 0.253
B: 0.333 0.667 0.747
B: 0.667 0.333 0.253
B: 0.667 0.333 0.747

=====

First-principles (PBE-GGA) data for a geometry-optimized Gd2Dy2BI5 structure, as listed in OQMD via LeMat-Bulk.

Calculated values
Density = 6.4 g/cm3
Symmetry = C2/m
Final energy = -4.382 eV/atom

Lattice parameters (Å, degrees): 9.894 9.894 8.717 102.14 102.14 23.73
Sites, in units of the cell vectors:
Gd: 0.001 0.001 0.303
Gd: 0.999 0.999 0.697
Dy: 0.368 0.368 0.433
Dy: 0.632 0.632 0.567
B: 0.500 0.500 0.500
I: 0.164 0.164 0.837
I: 0.169 0.169 0.328
I: 0.500 0.500 0.000
I: 0.831 0.831 0.672
I: 0.836 0.836 0.163

=====

First-principles (PBE-GGA) data for a geometry-optimized GdDyB2Ir2N2 structure, as listed in OQMD via LeMat-Bulk.

Calculated values
Density = 11.9 g/cm3
Symmetry = P4mm
Final energy = -8.275 eV/atom

Lattice parameters (Å, degrees): 3.750 3.750 7.468 90.00 90.00 90.00
Sites, in units of the cell vectors:
Gd: 0.000 0.000 0.000
Dy: 0.500 0.500 0.326
B: 0.000 0.000 0.507
B: 0.500 0.500 0.820
Ir: 0.000 0.500 0.663
Ir: 0.500 0.000 0.663
N: 0.000 0.000 0.308
N: 0.500 0.500 0.020

=====

First-principles (PBE-GGA) data for a geometry-optimized GdDyB2Ir2O2 structure, as listed in OQMD via LeMat-Bulk.

Calculated values
Density = 11.8 g/cm3
Symmetry = P4mm
Final energy = -7.921 eV/atom

Lattice parameters (Å, degrees): 3.824 3.824 7.267 90.00 90.00 90.00
Sites, in units of the cell vectors:
Gd: 0.000 0.000 0.000
Dy: 0.500 0.500 0.370
B: 0.000 0.000 0.531
B: 0.500 0.500 0.838
Ir: 0.000 0.500 0.683
Ir: 0.500 0.000 0.683
O: 0.000 0.000 0.322
O: 0.500 0.500 0.049

=====

First-principles (PBE-GGA) data for a geometry-optimized GdDyB2P2Ir2 structure, as listed in OQMD via LeMat-Bulk.

Calculated values
Density = 10.1 g/cm3
Symmetry = P4mm
Final energy = -7.351 eV/atom

Lattice parameters (Å, degrees): 3.946 3.946 8.336 90.00 90.00 90.00
Sites, in units of the cell vectors:
Gd: 0.000 0.000 0.000
Dy: 0.500 0.500 0.390
B: 0.000 0.000 0.583
B: 0.500 0.500 0.810
P: 0.000 0.000 0.344
P: 0.500 0.500 0.049
Ir: 0.000 0.500 0.695
Ir: 0.500 0.000 0.695

=====

First-principles (PBE-GGA) data for a geometry-optimized GdDyNi2B2N2 structure, as listed in OQMD via LeMat-Bulk.

Calculated values
Density = 8.7 g/cm3
Symmetry = P4mm
Final energy = -7.387 eV/atom

Lattice parameters (Å, degrees): 3.508 3.508 7.513 90.00 90.00 90.00
Sites, in units of the cell vectors:
Gd: 0.000 0.000 0.000
Dy: 0.500 0.500 0.664
Ni: 0.000 0.500 0.332
Ni: 0.500 0.000 0.332
B: 0.000 0.000 0.490
B: 0.500 0.500 0.172
N: 0.000 0.000 0.685
N: 0.500 0.500 0.977

=====

First-principles (PBE-GGA) data for a geometry-optimized GdDyB2Pt2N2 structure, as listed in OQMD via LeMat-Bulk.

Calculated values
Density = 11.8 g/cm3
Symmetry = P4mm
Final energy = -7.571 eV/atom

Lattice parameters (Å, degrees): 3.746 3.746 7.597 90.00 90.00 90.00
Sites, in units of the cell vectors:
Gd: 0.000 0.000 0.000
Dy: 0.500 0.500 0.325
B: 0.000 0.000 0.493
B: 0.500 0.500 0.834
Pt: 0.000 0.500 0.662
Pt: 0.500 0.000 0.662
N: 0.000 0.000 0.303
N: 0.500 0.500 0.024

=====

First-principles (PBE-GGA) data for a geometry-optimized GdDyNi2B2P2 structure, as listed in OQMD via LeMat-Bulk.

Calculated values
Density = 7.2 g/cm3
Symmetry = P4mm
Final energy = -6.321 eV/atom

Lattice parameters (Å, degrees): 3.905 3.905 7.849 90.00 90.00 90.00
Sites, in units of the cell vectors:
Gd: 0.000 0.000 0.000
Dy: 0.500 0.500 0.588
Ni: 0.000 0.500 0.295
Ni: 0.500 0.000 0.295
B: 0.000 0.000 0.386
B: 0.500 0.500 0.200
P: 0.000 0.000 0.635
P: 0.500 0.500 0.951

=====

First-principles (PBE-GGA) data for a geometry-optimized Gd2DyNi2B2P3 structure, as listed in OQMD via LeMat-Bulk.

Calculated values
Density = 7.1 g/cm3
Symmetry = I4/mmm
Final energy = -6.379 eV/atom

Lattice parameters (Å, degrees): 11.022 11.022 11.022 159.34 159.34 29.38
Sites, in units of the cell vectors:
Gd: 0.138 0.138 0.000
Gd: 0.862 0.862 0.000
Dy: 0.500 0.500 0.000
Ni: 0.250 0.750 0.500
Ni: 0.750 0.250 0.500
B: 0.281 0.281 0.000
B: 0.719 0.719 0.000
P: 0.000 0.000 0.000
P: 0.372 0.372 0.000
P: 0.628 0.628 0.000

=====

First-principles (PBE-GGA) data for a geometry-optimized GdDy3B2Pb2 structure, as listed in OQMD via LeMat-Bulk.

Calculated values
Density = 9.0 g/cm3
Symmetry = P3m1
Final energy = -5.093 eV/atom

Lattice parameters (Å, degrees): 3.704 3.704 16.780 90.00 90.00 120.00
Sites, in units of the cell vectors:
Gd: 0.000 0.000 0.000
Dy: 0.000 0.000 0.679
Dy: 0.667 0.333 0.181
Dy: 0.667 0.333 0.501
B: 0.333 0.667 0.091
B: 0.333 0.667 0.590
Pb: 0.000 0.000 0.340
Pb: 0.667 0.333 0.838

=====

First-principles (PBE-GGA) data for a geometry-optimized DyGeB4 structure, as listed in OQMD via LeMat-Bulk.

Calculated values
Density = 6.9 g/cm3
Symmetry = Immm
Excess energy over the best structure of this formula in the dataset = 0 meV/atom

Lattice parameters (Å, degrees): 3.175 5.150 8.188 90.00 90.00 90.00
Sites, in units of the cell vectors:
Dy: 0.000 0.000 0.000
Dy: 0.500 0.500 0.500
Ge: 0.000 0.000 0.500
Ge: 0.500 0.500 0.000
B: 0.000 0.325 0.262
B: 0.000 0.325 0.738
B: 0.000 0.675 0.262
B: 0.000 0.675 0.738
B: 0.500 0.175 0.238
B: 0.500 0.175 0.762
B: 0.500 0.825 0.238
B: 0.500 0.825 0.762